# 1
4
Lattice="4.1447 -0.0138 -0.0036 -2.0601 3.5965 0.0036 -2.0583 -1.2002 7.9559" Properties=species:S:1:pos:R:3 comment="SrCaSiRh | the Alexandria database | PBE-GGA | optimized geometry" raw_formation_energy_ev_per_atom=-0.579 pbc="T T T"
Sr 0.5639 -0.3281 3.1277
Ca -3.5574 2.0699 6.9270
Si 2.6387 0.8625 0.9148
Rh 0.5705 2.0659 0.9371

***

# 2
21
Lattice="0.7804 4.4593 2.7336 -6.9745 -0.2891 3.6498 5.6062 -5.3112 2.6050" Properties=species:S:1:pos:R:3 comment="Er2ZnTe2S2O14 | the Alexandria database | PBE-GGA | optimized geometry" raw_formation_energy_ev_per_atom=-1.910 pbc="T T T"
Er 3.8080 -4.9317 3.7057
Er -4.3959 3.7906 5.2826
Zn 2.8031 -2.6556 1.3025
Te 2.2170 -1.2892 4.1495
Te -2.8048 0.1482 4.8389
S 0.2650 2.0068 3.6063
S -0.8528 -3.1479 5.3821
O -0.7179 2.5582 4.5757
O 0.1301 -3.6993 4.4126
O 1.4637 1.4771 4.2939
O -2.0516 -2.6182 4.6945
O -0.3475 0.9112 2.8137
O -0.2403 -2.0523 6.1747
O 0.6199 3.1834 2.7316
O -1.2077 -4.3244 6.2567
O 2.5533 -1.5104 6.0108
O -3.1411 0.3694 2.9775
O 3.0798 -2.8290 3.4411
O -3.6677 1.6880 5.5472
O 3.8187 -0.2255 4.0804
O -4.4065 -0.9156 4.9079

***

# 3
4
Lattice="-2.3981 -1.9714 -2.3851 1.5186 -4.1449 1.8991 -3.4816 0.2382 3.3037" Properties=species:S:1:pos:R:3 comment="LiTb2As | the Alexandria database | PBE-GGA | optimized geometry" formation_energy_ev_per_atom=-0.58 de_polymorph_mev_per_atom=0 pbc="T T T"
As -2.1806 -2.9391 1.4089
Tb -1.7408 0.1191 1.6519
Tb 0.7593 -2.0724 0.9496
Li -1.1991 -0.9857 -1.1926

***

Number 1: density of states at the Fermi level 2.861 states/eV/cell, total magnetic moment 0.00 Bohr magnetons per cell. Number 2: density of states at the Fermi level 0.000 states/eV/cell, total magnetic moment 0.00 Bohr magnetons per cell. Number 3: density of states at the Fermi level 2.714 states/eV/cell, total magnetic moment 0.00 Bohr magnetons per cell.